a.
Tm3ZnPt3 | PBE | relaxed

Geometry as POSCAR:
```
Tm3ZnPt3
1.0
-0.532 -5.026 -2.301
5.339 2.253 -6.156
2.964 -3.553 7.076
Tm Zn Pt
6 2 6
Cartesian
5.377 -4.590 -1.269
1.400 -3.141 -3.515
5.669 -2.624 -5.630
2.394 -1.736 -0.112
6.372 -3.185 2.133
2.103 -3.701 4.249
4.414 -0.939 -2.321
3.357 -5.387 0.939
5.272 -2.011 -0.177
1.921 -0.533 -2.631
6.050 -0.272 -4.153
2.499 -4.315 -1.204
5.851 -5.793 1.250
1.721 -6.053 2.772
```

Computed properties:
**SG**: P6_3/m
**Volume**: 343.8 Å³ per cell
**Total moment**: 0.0 μB/f.u.

=====

b.
Tm3ZnPt3 | PBE | relaxed

Geometry as POSCAR:
```
Tm3ZnPt3
1.0
4.053 0.000 0.000
-2.027 5.175 0.000
0.000 0.000 13.868
Tm Zn Pt
6 2 6
Cartesian
0.000 1.983 12.399
2.027 3.192 1.469
0.000 1.983 8.403
2.027 3.192 5.465
0.000 4.790 10.401
2.027 0.385 3.467
2.027 0.000 0.000
2.027 0.000 6.934
2.027 4.194 12.580
0.000 0.981 1.288
2.027 4.194 8.222
0.000 0.981 5.646
2.027 2.408 10.401
0.000 2.767 3.467
```

Computed properties:
**SG**: Cmcm
**Volume**: 290.9 Å³ per cell
**Total moment**: 0.0 μB/f.u.

=====

Unit: meV per atom. Relative energies: a 231; b 0.

=====

a.
TmZnPt6 | PBE | relaxed

Geometry as POSCAR:
```
TmZnPt6
1.0
-0.974 -1.842 -4.932
-4.618 -2.250 1.510
-2.814 4.361 -1.316
Tm Zn Pt
1 1 6
Cartesian
0.000 0.000 0.000
-4.203 0.134 -2.369
-3.116 -0.775 -0.257
-2.458 1.636 -1.287
-5.290 1.043 -4.481
-6.619 0.894 -2.132
-5.948 -1.367 -3.451
-1.788 -0.626 -2.605
```

Computed properties:
**SG**: R-3m
**Volume**: 153.1 Å³ per cell
**Total moment**: 0.0 μB/f.u.

=====

b.
TmZnPt6 | PBE | relaxed

Geometry as POSCAR:
```
TmZnPt6
1.0
-0.461 1.437 3.744
3.699 -1.303 0.955
3.046 6.961 -2.297
Tm Zn Pt
1 1 6
Cartesian
0.000 0.000 0.000
1.523 3.480 -1.148
1.619 0.067 2.350
3.142 3.547 1.201
0.569 2.545 1.269
2.016 5.853 0.178
2.649 1.175 -0.125
4.096 4.483 -1.217
```

Computed properties:
**SG**: P4/mmm
**Volume**: 129.3 Å³ per cell
**Total moment**: 0.0 μB/f.u.

=====

Unit: meV per atom. Relative energies: a 548; b 0.

=====

a.
Tm2ZnPt3 | PBE | relaxed

Geometry as POSCAR:
```
Tm2ZnPt3
1.0
5.525 0.000 0.000
-2.763 4.785 0.000
0.000 0.000 8.306
Tm Zn Pt
4 2 6
Cartesian
2.763 1.595 3.669
0.000 3.190 4.637
0.000 3.190 7.822
2.763 1.595 0.484
0.000 0.000 4.153
0.000 0.000 0.000
0.000 1.612 2.077
1.396 0.806 6.230
2.763 3.173 6.230
-1.367 3.979 2.077
4.130 0.806 6.230
1.367 3.979 2.077
```

Computed properties:
**SG**: P6_3/mmc
**Volume**: 219.6 Å³ per cell
**Total moment**: 0.0 μB/f.u.

=====

b.
Tm2ZnPt3 | PBE | relaxed

Geometry as POSCAR:
```
Tm2ZnPt3
1.0
4.270 0.000 0.000
0.000 5.407 0.000
-2.135 -2.703 5.336
Tm Zn Pt
2 1 3
Cartesian
2.135 0.000 2.003
0.000 2.703 3.333
0.000 2.703 0.000
0.000 0.000 3.930
0.000 0.000 0.000
2.135 2.703 1.406
```

Computed properties:
**SG**: Immm
**Volume**: 123.2 Å³ per cell
**Total moment**: 0.0 μB/f.u.

=====

Unit: meV per atom. Relative energies: a 0; b 205.

=====

a.
UPt6 | PBE | relaxed

Geometry as POSCAR:
```
UPt6
1.0
-2.285 -3.675 4.251
4.663 1.321 3.649
-3.136 4.642 2.328
U Pt
1 6
Cartesian
0.000 0.000 0.000
0.317 2.263 3.820
-1.334 2.557 5.822
0.576 -0.269 4.405
-1.798 0.742 4.003
1.040 1.546 6.224
-1.075 0.025 6.408
```

Computed properties:
**SG**: Pm-3m
**Volume**: 223.3 Å³ per cell
**Total moment**: 3.9 μB/f.u.

=====

b.
UPt6 | PBE | relaxed

Geometry as POSCAR:
```
UPt6
1.0
5.454 0.000 0.000
0.000 9.559 0.000
0.000 0.000 9.497
U Pt
4 24
Cartesian
4.090 2.718 9.057
1.363 6.840 0.440
4.090 7.498 5.188
1.363 2.061 4.308
4.090 5.474 0.119
1.363 4.084 9.378
4.090 0.695 4.629
1.363 8.864 4.867
0.019 4.467 2.324
2.746 5.092 7.172
2.708 9.246 2.424
5.434 0.313 7.073
5.434 5.092 7.172
2.708 4.467 2.324
2.746 0.313 7.073
0.019 9.246 2.424
1.363 2.035 1.605
4.090 7.523 7.892
1.363 6.815 3.143
4.090 2.744 6.353
1.363 7.456 7.250
4.090 2.103 2.247
1.363 2.677 6.995
4.090 6.882 2.502
1.363 4.693 4.851
4.090 4.866 4.646
1.363 9.472 9.394
4.090 0.087 0.103
```

Computed properties:
**SG**: Pnma
**Volume**: 495.1 Å³ per cell
**Total moment**: 1.2 μB/f.u.

=====

Unit: meV per atom. Relative energies: a 1687; b 0.